Record 1
GGA-PBE Cs2LaZn2S4, optimized geometry; raw total energy = -36.316 eV/cell; formation energy (no corrections) = -1.180 eV per atom; total magnetic moment = 0.0 Bohr magnetons per cell
1.0
7.737 -2.195 0.000
7.737 2.195 0.000
-2.684 0.000 7.703
Cs La Zn S
2 1 2 4
Cartesian
1.927 0.000 0.460 Cs
10.864 0.000 7.243 Cs
-1.342 0.000 3.851 La
3.673 0.000 3.886 Zn
9.118 0.000 3.817 Zn
1.392 0.000 4.942 S
5.394 0.000 5.550 S
7.396 0.000 2.152 S
11.399 0.000 2.761 S

***

Record 2
GGA-PBE CuTeBr, optimized geometry; raw total energy = -18.766 eV/cell; formation energy (no corrections) = -0.157 eV per atom; total magnetic moment = 0.0 Bohr magnetons per cell
1.0
6.026 0.000 0.000
0.000 3.623 0.000
-1.617 0.000 8.182
Cu Te Br
2 2 2
Cartesian
0.000 0.000 0.000 Cu
-0.341 1.812 3.016 Cu
-0.319 1.812 6.771 Te
3.903 1.812 4.725 Te
1.222 0.000 2.458 Br
4.422 1.812 0.667 Br

***

Record 3
GGA-PBE YMg2Cd, optimized geometry; formation energy = -116 meV per atom; raw total energy = -11.033 eV/cell; total magnetic moment = 0.2 Bohr magnetons per cell
1.0
3.413 0.000 0.000
0.000 3.413 0.000
0.000 0.000 8.410
Y Mg Cd
1 2 1
Cartesian
0.000 0.000 0.000 Y
1.706 1.706 2.353 Mg
1.706 1.706 6.057 Mg
0.000 0.000 4.205 Cd

***

Record 4
GGA-PBE Na2Li2As, optimized geometry; formation energy = -341 meV per atom; raw total energy = -25.641 eV/cell; total magnetic moment = 0.0 Bohr magnetons per cell
1.0
4.922 0.000 0.000
0.000 8.026 0.000
0.000 0.000 5.504
Na Li As
4 4 2
Cartesian
1.108 0.929 0.000 Na
1.353 4.942 0.000 Na
3.569 3.084 0.000 Na
3.814 7.097 0.000 Na
0.167 2.656 2.752 Li
2.294 6.669 2.752 Li
2.628 1.357 2.752 Li
4.755 5.371 2.752 Li
0.000 0.000 2.752 As
2.461 4.013 2.752 As

***

Record 5
GGA-PBE TbEr5Pd2, optimized geometry; formation energy = -384 meV per atom; raw total energy = -81.801 eV/cell; total magnetic moment = 0.0 Bohr magnetons per cell
1.0
1.875 -6.480 0.000
1.875 6.480 0.000
0.000 0.000 17.945
Tb Er Pd
2 10 4
Cartesian
1.875 4.277 13.459 Tb
1.875 -4.277 4.486 Tb
1.875 5.253 4.486 Er
1.875 4.398 9.830 Er
1.875 4.398 17.089 Er
1.875 0.681 10.690 Er
1.875 0.681 16.228 Er
1.875 -0.681 1.718 Er
1.875 -0.681 7.255 Er
1.875 -4.398 0.857 Er
1.875 -4.398 8.116 Er
1.875 -5.253 13.459 Er
1.875 3.493 2.356 Pd
1.875 3.493 6.617 Pd
1.875 -3.493 11.329 Pd
1.875 -3.493 15.589 Pd

***

Record 6
GGA-PBE Pm4Ho5Cd, optimized geometry; formation energy = -48 meV per atom; raw total energy = -43.288 eV/cell; total magnetic moment = 0.0 Bohr magnetons per cell
1.0
3.598 0.000 0.000
0.000 3.598 0.000
0.000 0.000 24.223
Pm Ho Cd
4 5 1
Cartesian
0.000 0.000 2.523 Pm
0.000 0.000 7.582 Pm
0.000 0.000 16.641 Pm
0.000 0.000 21.701 Pm
1.799 1.799 0.000 Ho
1.799 1.799 5.057 Ho
1.799 1.799 10.090 Ho
1.799 1.799 14.133 Ho
1.799 1.799 19.166 Ho
0.000 0.000 12.112 Cd

***

Record 7
GGA-PBE ZnCo2Mo, optimized geometry; formation energy = -13 meV per atom; raw total energy = -26.370 eV/cell; total magnetic moment = 0.0 Bohr magnetons per cell
1.0
2.713 0.000 0.000
0.000 2.713 0.000
0.000 0.000 6.776
Zn Co Mo
1 2 1
Cartesian
0.000 0.000 0.000 Zn
1.357 1.357 1.651 Co
1.357 1.357 5.126 Co
0.000 0.000 3.388 Mo

***

Record 8
GGA-PBE TcNiHRh2, optimized geometry; raw total energy = -33.743 eV/cell; total magnetic moment = 1.9 Bohr magnetons per cell
1.0
3.878 0.000 0.000
0.000 3.878 0.000
0.000 0.000 3.786
Tc Ni H Rh
1 1 1 2
Cartesian
0.000 0.000 0.000 Tc
1.939 1.939 0.000 Ni
1.939 1.939 1.893 H
0.000 1.939 1.893 Rh
1.939 0.000 1.893 Rh